The following is a DFT calculation (GGA-PBE) of a relaxed structure of NdNpCo10.

Calculated values
Density of states at the Fermi level ... 17.8 states/eV/cell
Symmetry ... Pmmm
E_form ... -0.04 eV per atom

Lattice parameters (Å, degrees): 3.992 4.924 8.466 90.00 90.00 90.00
Site moments in Bohr magnetons follow the coordinates.
Element x y z (fractional)
Nd 0.000 0.000 0.000  -0.24
Np 0.000 0.500 0.500  -3.59
Co 0.000 0.000 0.347  1.39
Co 0.000 0.500 0.807  1.39
Co 0.000 0.500 0.193  1.39
Co 0.000 0.000 0.653  1.39
Co 0.500 0.000 0.500  1.47
Co 0.500 0.500 0.000  1.51
Co 0.500 0.250 0.254  1.48
Co 0.500 0.750 0.746  1.48
Co 0.500 0.750 0.254  1.48
Co 0.500 0.250 0.746  1.48